This record from Alexandria describes a relaxed Ta2MnMo crystal. The functional is PBE-GGA.

The space-group type is F-43m. The calculation puts the energy of formation at 0.014 eV per atom.

Unit cell a=4.4609 b=4.4609 c=4.4609 alpha=60.00 beta=60.00 gamma=60.00
Element x y z (fractional)
Ta 0.0000 0.0000 0.0000
Ta 0.2500 0.2500 0.2500
Mn 0.5000 0.5000 0.5000
Mo 0.7500 0.7500 0.7500